(1)
# Ba2SnSe4 (PBE, relaxed)
data_Ba2SnSe4
_space_group_name_H-M_alt 'P 1'
_space_group_IT_number 1
_space_group_name_Hall 'P 1'
_cell_length_a 11.014
_cell_length_b 6.903
_cell_length_c 6.903
_cell_angle_alpha 109.84
_cell_angle_beta 90.00
_cell_angle_gamma 90.00
loop_
_atom_site_label
_atom_site_type_symbol
_atom_site_fract_x
_atom_site_fract_y
_atom_site_fract_z
_atom_site_occupancy
Ba1 Ba 0.000 0.000 0.000 1
Ba2 Ba 0.250 0.736 0.360 1
Ba3 Ba 0.500 0.000 0.000 1
Ba4 Ba 0.750 0.360 0.736 1
Sn1 Sn 0.250 0.307 0.756 1
Sn2 Sn 0.750 0.756 0.307 1
Se1 Se 0.059 0.124 0.569 1
Se2 Se 0.250 0.256 0.111 1
Se3 Se 0.250 0.700 0.837 1
Se4 Se 0.441 0.124 0.569 1
Se5 Se 0.559 0.569 0.124 1
Se6 Se 0.750 0.111 0.256 1
Se7 Se 0.750 0.837 0.700 1
Se8 Se 0.941 0.569 0.124 1
# **ΔE_f (raw)**: -1.37 eV per atom
# **ΔE to the lowest computed polymorph**: 0.0 meV/atom



(2)
# BaReSe2 (PBE, relaxed)
data_BaReSe2
_space_group_name_H-M_alt 'P 1'
_space_group_IT_number 1
_space_group_name_Hall 'P 1'
_cell_length_a 6.424
_cell_length_b 6.424
_cell_length_c 5.377
_cell_angle_alpha 110.32
_cell_angle_beta 110.32
_cell_angle_gamma 31.48
loop_
_atom_site_label
_atom_site_type_symbol
_atom_site_fract_x
_atom_site_fract_y
_atom_site_fract_z
_atom_site_occupancy
Ba1 Ba 0.000 0.000 0.000 1
Re1 Re 0.247 0.247 0.594 1
Se1 Se 0.599 0.599 0.592 1
Se2 Se 0.812 0.812 0.355 1
# **ΔE_f (raw)**: -0.29 eV per atom
# **ΔE to the lowest computed polymorph**: 210.9 meV/atom



(3)
# YThPt2 (PBE, relaxed)
data_YThPt2
_space_group_name_H-M_alt 'P 1'
_space_group_IT_number 1
_space_group_name_Hall 'P 1'
_cell_length_a 7.410
_cell_length_b 7.410
_cell_length_c 7.410
_cell_angle_alpha 31.96
_cell_angle_beta 31.96
_cell_angle_gamma 31.96
loop_
_atom_site_label
_atom_site_type_symbol
_atom_site_fract_x
_atom_site_fract_y
_atom_site_fract_z
_atom_site_occupancy
Y1 Y 0.000 0.000 0.000 1
Th1 Th 0.828 0.828 0.828 1
Pt1 Pt 0.247 0.247 0.247 1
Pt2 Pt 0.413 0.413 0.413 1
# **ΔE to the lowest computed polymorph**: 116.9 meV/atom
# **ΔH_f (0 K)**: -112 kJ/mol of atoms



Number 1: V 493.7 Å³/cell. Number 2: V 108.1 Å³/cell. Number 3: V 101.3 Å³/cell.